Density functional theory data (PBE) for an optimized crystal structure of RbMnZnSe3.

Properties
The symmetry is No. 11. The formation energy without anion corrections comes out at -0.72 eV per atom. The value obtained for the density of states at the Fermi level is 3.02 states/eV per cell. The calculation puts the total energy at -52.4 eV per cell.

```
RbMnZnSe3
1.0
8.9253 0.0000 0.0000
0.0000 3.8515 0.0000
-3.3858 0.0000 9.7709
Rb Mn Zn Se
2 2 2 6
Direct
0.2150 0.2500 0.2442
0.7850 0.7500 0.7558
0.3449 0.7500 0.8811
0.6551 0.2500 0.1189
0.0938 0.2500 0.6073
0.9062 0.7500 0.3927
0.1494 0.2500 0.8611
0.2056 0.7500 0.5216
0.4827 0.7500 0.1473
0.5173 0.2500 0.8527
0.7944 0.2500 0.4784
0.8506 0.7500 0.1389
```